Record 1
A plane-wave DFT calculation with PBE-GGA was carried out for a relaxed structure of LaPr4Mg.

Summary:
* spin magnetization: 0.00 μB per formula unit
* space-group type: Cmc2_1
* V: 205 Å³/f.u.
* energy above the lowest structure with this stoichiometry: 27 meV per atom
* Fermi-level density of states: 7.909 states/eV/f.u.

Unit cell a=8.1560 b=8.1560 c=10.3398 alpha=90.00 beta=90.00 gamma=143.50
Last column: nearest neighbours and their distance in Å.
Sites, in units of the cell vectors:
La  0.1702  0.8298  0.5000  9 Pr 3.57-3.71, 3 Mg 3.61-3.65
La  0.8298  0.1702  0.0000  9 Pr 3.57-3.71, 3 Mg 3.61-3.65
Pr  0.0023  0.9977  0.2487  2 Mg 3.60, 8 Pr 3.63-3.68, 2 La 3.68-3.71
Pr  0.1689  0.8311  0.9957  2 La 3.57, 7 Pr 3.62-3.68, 3 Mg 3.62-3.65
Pr  0.3323  0.6677  0.2482  7 Pr 3.62-3.67, 3 La 3.62, 2 Mg 3.63
Pr  0.4989  0.5011  0.4987  2 Mg 3.62-3.66, 8 Pr 3.63-3.67, 2 La 3.68
Pr  0.5011  0.4989  0.9987  2 Mg 3.62-3.66, 8 Pr 3.63-3.67, 2 La 3.68
Pr  0.6677  0.3323  0.7482  7 Pr 3.62-3.67, 3 La 3.62, 2 Mg 3.63
Pr  0.8311  0.1689  0.4957  2 La 3.57, 7 Pr 3.62-3.68, 3 Mg 3.62-3.65
Pr  0.9977  0.0023  0.7487  2 Mg 3.60, 8 Pr 3.63-3.68, 2 La 3.68-3.71
Mg  0.3342  0.6658  0.7476  9 Pr 3.60-3.66, 3 La 3.61-3.65
Mg  0.6658  0.3342  0.2476  9 Pr 3.60-3.66, 3 La 3.61-3.65



Record 2
A plane-wave DFT calculation with PBE-GGA was carried out for a relaxed structure of LaTb2Dy9.

Summary:
* spin magnetization: 0.00 μB per formula unit
* space-group type: P4/mmm
* V: 384 Å³/f.u.
* energy above the lowest structure with this stoichiometry: 0 meV per atom
* Fermi-level density of states: 17.942 states/eV/f.u.

Unit cell a=5.0394 b=5.0394 c=15.1371 alpha=90.00 beta=90.00 gamma=90.00
Last column: nearest neighbours and their distance in Å.
Sites, in units of the cell vectors:
La  0.0000  0.0000  0.0000  12 Dy 3.56-3.60
Tb  0.0000  0.0000  0.3342  12 Dy 3.54-3.56
Tb  0.0000  0.0000  0.6658  12 Dy 3.54-3.56
Dy  0.0000  0.5000  0.1701  2 Tb 3.54, 8 Dy 3.55-3.60, 2 La 3.60
Dy  0.0000  0.5000  0.5000  8 Dy 3.54-3.56, 4 Tb 3.56
Dy  0.0000  0.5000  0.8299  2 Tb 3.54, 8 Dy 3.55-3.60, 2 La 3.60
Dy  0.5000  0.0000  0.1701  2 Tb 3.54, 8 Dy 3.55-3.60, 2 La 3.60
Dy  0.5000  0.0000  0.5000  8 Dy 3.54-3.56, 4 Tb 3.56
Dy  0.5000  0.0000  0.8299  2 Tb 3.54, 8 Dy 3.55-3.60, 2 La 3.60
Dy  0.5000  0.5000  0.0000  4 La 3.56, 8 Dy 3.60
Dy  0.5000  0.5000  0.3355  8 Dy 3.54-3.55, 4 Tb 3.56
Dy  0.5000  0.5000  0.6645  8 Dy 3.54-3.55, 4 Tb 3.56



Record 3
A plane-wave DFT calculation with PBE-GGA was carried out for a relaxed structure of PaInGaBr6.

Summary:
* spin magnetization: 1.01 μB per formula unit
* space-group type: P-31c
* V: 361 Å³/f.u.
* Fermi-level density of states: 0.490 states/eV/f.u.
* energy relative to the elements, uncorrected: -1.105 eV per atom

Unit cell a=7.7816 b=7.7816 c=13.7635 alpha=90.00 beta=90.00 gamma=120.00
Last column: nearest neighbours and their distance in Å.
Sites, in units of the cell vectors:
Pa  0.3333  0.6667  0.2500  6 Br 2.82
Pa  0.6667  0.3333  0.7500  6 Br 2.82
In  0.0000  0.0000  0.0000  6 Br 3.35
In  0.0000  0.0000  0.5000  6 Br 3.35
Ga  0.3333  0.6667  0.7500  6 Br 3.12
Ga  0.6667  0.3333  0.2500  6 Br 3.12
Br  0.0297  0.3747  0.1334  1 Pa 2.82, 1 Ga 3.12
Br  0.0297  0.6550  0.3666  1 Pa 2.82, 1 Ga 3.12
Br  0.3450  0.3747  0.3666  1 Pa 2.82, 1 Ga 3.12
Br  0.3450  0.9703  0.1334  1 Pa 2.82, 1 Ga 3.12
Br  0.3747  0.0297  0.6334  1 Pa 2.82, 1 Ga 3.12
Br  0.3747  0.3450  0.8666  1 Pa 2.82, 1 Ga 3.12
Br  0.6253  0.6550  0.1334  1 Pa 2.82, 1 Ga 3.12
Br  0.6253  0.9703  0.3666  1 Pa 2.82, 1 Ga 3.12
Br  0.6550  0.0297  0.8666  1 Pa 2.82, 1 Ga 3.12
Br  0.6550  0.6253  0.6334  1 Pa 2.82, 1 Ga 3.12
Br  0.9703  0.3450  0.6334  1 Pa 2.82, 1 Ga 3.12
Br  0.9703  0.6253  0.8666  1 Pa 2.82, 1 Ga 3.12



Record 4
A plane-wave DFT calculation with PBE-GGA was carried out for a relaxed structure of TaIrBr2.

Summary:
* spin magnetization: 0.00 μB per formula unit
* space-group type: Fm-3m
* V: 71 Å³/f.u.
* energy above the lowest structure with this stoichiometry: 1406 meV per atom
* Fermi-level density of states: 3.989 states/eV/f.u.
* energy relative to the elements, uncorrected: 0.971 eV per atom

Unit cell a=4.6371 b=4.6371 c=4.6371 alpha=60.00 beta=60.00 gamma=60.00
Last column: nearest neighbours and their distance in Å.
Sites, in units of the cell vectors:
Ta  0.0000  0.0000  0.0000  8 Br 2.84
Ir  0.5000  0.5000  0.5000  8 Br 2.84
Br  0.2500  0.2500  0.2500  4 Ir 2.84, 4 Ta 2.84
Br  0.7500  0.7500  0.7500  4 Ta 2.84, 4 Ir 2.84



no.,VASP energy (eV/atom)
1,-4.272
2,-4.610
3,-3.916
4,-5.044